Entry from Alexandria via LeMat-Bulk: an optimized crystal structure of YRuO2F (PBE-GGA).

Calculated values
Raw total energy = -6.795 eV/atom
ΔE_f (raw) = -1.290 eV per atom

Unit cell a=4.4174 b=4.4174 c=4.2309 alpha=90.00 beta=90.00 gamma=90.00
Last column: nearest neighbours and their distance in Å.
Fractional coordinates of all 5 atoms:
Y 0.0000 0.0000 0.0000  2 F 2.12, 4 O 2.21
Ru 0.5000 0.5000 0.5000  8 O 3.06, 4 F 3.12
O 0.0000 0.5000 0.0000  2 Y 2.21
O 0.5000 0.0000 0.0000  2 Y 2.21
F 0.0000 0.0000 0.5000  2 Y 2.12